# 1
Computed, not measured: crystalline Hg4TeAsBr2 at its relaxed geometry at the PBE level of DFT.

Cell: 11.672 13.841 8.150 Å, 90.00 134.05 90.00°
Space group C2/c (No. 15)
Symmetry-distinct sites (fractional):
Hg (0.001, 0.202, 0.006)
Hg (0.233, 0.020, 0.482)
Te (0.250, 0.250, 0.500)
As (0.000, 0.000, 0.000)
Br (0.000, 0.500, 0.000)
Br (0.250, 0.250, 0.000)

Output
E	-1.629	eV per atom
uncorrected formation energy	-0.09	eV/atom

***

# 2
Computed, not measured: crystalline Hg6TeAs2Br2 at its relaxed geometry at the PBE level of DFT.

Cell: 6.631 6.744 8.688 Å, 80.27 76.72 62.28°
Space group P-1 (No. 2)
Symmetry-distinct sites (fractional):
Hg (0.058, 0.093, 0.108)
Hg (0.122, 0.265, 0.776)
Hg (0.232, 0.735, 0.478)
Te (0.500, 0.000, 0.500)
As (0.115, 0.284, 0.324)
Br (0.496, 0.594, 0.192)

Output
E	-1.658	eV per atom
uncorrected formation energy	-0.06	eV/atom

***

# 3
Computed, not measured: crystalline HgTeAsBr2 at its relaxed geometry at the PBE level of DFT.

Cell: 5.675 5.675 5.720 Å, 90.00 90.00 90.00°
Space group P4/mmm (No. 123)
Symmetry-distinct sites (fractional):
Hg (0.000, 0.000, 0.000)
Te (0.500, 0.500, 0.500)
As (0.500, 0.500, 0.000)
Br (0.000, 0.500, 0.500)

Output
E	-2.041	eV per atom
uncorrected formation energy	0.25	eV/atom

***

# 4
Computed, not measured: crystalline TiHg6As4Br7 at its relaxed geometry at the PBE level of DFT.

Cell: 12.707 12.707 12.707 Å, 90.00 90.00 90.00°
Space group Pa-3 (No. 205)
Symmetry-distinct sites (fractional):
Ti (0.000, 0.000, 0.000)
Hg (0.044, 0.192, 0.694)
As (0.154, 0.654, 0.846)
As (0.231, 0.231, 0.231)
Br (0.000, 0.000, 0.500)
Br (0.039, 0.546, 0.309)

Output
E	-2.682	eV per atom
uncorrected formation energy	-0.46	eV/atom

***

# 5
Computed, not measured: crystalline Tl2HgAsBr6 at its relaxed geometry at the PBE level of DFT.

Cell: 11.228 11.095 7.836 Å, 90.00 133.06 90.00°
Space group Cm (No. 8)
Symmetry-distinct sites (fractional):
Tl (0.000, 0.215, 0.000)
Hg (0.071, 0.500, 0.509)
As (0.085, 0.000, 0.524)
Br (0.083, 0.244, 0.515)
Br (0.264, 0.000, 0.411)
Br (0.316, 0.500, 0.049)
Br (0.348, 0.000, 0.967)
Br (0.387, 0.500, 0.599)

Output
E	-2.509	eV per atom
uncorrected formation energy	-0.54	eV/atom

***

# 6
Computed, not measured: crystalline TlHg2AsBr at its relaxed geometry at the PBE level of DFT.

Cell: 5.463 5.463 5.720 Å, 90.00 90.00 90.00°
Space group P4/mmm (No. 123)
Symmetry-distinct sites (fractional):
Tl (0.000, 0.000, 0.000)
Hg (0.000, 0.500, 0.500)
As (0.000, 0.000, 0.500)
Br (0.500, 0.500, 0.000)

Output
E	-1.976	eV per atom
uncorrected formation energy	-0.12	eV/atom

***

# 7
Computed, not measured: crystalline TlHgAsBr2 at its relaxed geometry at the PBE level of DFT.

Cell: 5.725 5.725 5.646 Å, 90.00 90.00 90.00°
Space group P4/mmm (No. 123)
Symmetry-distinct sites (fractional):
Tl (0.000, 0.000, 0.000)
Hg (0.500, 0.500, 0.500)
As (0.000, 0.000, 0.500)
Br (0.000, 0.500, 0.000)

Output
E	-1.943	eV per atom
uncorrected formation energy	0.19	eV/atom

***

# 8
Computed, not measured: crystalline TlHgAsBr2 at its relaxed geometry at the PBE level of DFT.

Cell: 5.899 5.899 5.208 Å, 90.00 90.00 90.00°
Space group P4/mmm (No. 123)
Symmetry-distinct sites (fractional):
Tl (0.000, 0.000, 0.000)
Hg (0.500, 0.500, 0.500)
As (0.500, 0.500, 0.000)
Br (0.000, 0.500, 0.500)

Output
E	-2.127	eV per atom
uncorrected formation energy	0.01	eV/atom

***

> Among the records above, which one has the lowest uncorrected formation energy?

Tl2HgAsBr6

***

> What is the formula in the fourth record?

TiHg6As4Br7

***

> Look up the E of the eighth one.

-2.127 eV per atom